(1)
# Bi3BCl | Alexandria | GGA-PBE | optimized geometry
data_Bi3BCl
_symmetry_space_group_name_H-M 'P m -3 m'
_symmetry_Int_Tables_number 221
_symmetry_space_group_name_Hall '-P 4 2 3'
_cell_length_a 5.126
_cell_length_b 5.126
_cell_length_c 5.126
_cell_angle_alpha 90.00
_cell_angle_beta 90.00
_cell_angle_gamma 90.00
loop_
_atom_site_label
_atom_site_type_symbol
_atom_site_fract_x
_atom_site_fract_y
_atom_site_fract_z
Bi1 Bi 0.000 0.000 0.500
B1 B 0.000 0.000 0.000
Cl1 Cl 0.500 0.500 0.500
# ΔE to the lowest computed polymorph (meV per atom): 0.0

(2)
# Na2ZnAu2 | Alexandria | GGA-PBE | optimized geometry
data_Na2ZnAu2
_symmetry_space_group_name_H-M 'P 4/m b m'
_symmetry_Int_Tables_number 127
_symmetry_space_group_name_Hall '-P 4 2ab'
_cell_length_a 8.753
_cell_length_b 8.753
_cell_length_c 2.835
_cell_angle_alpha 90.00
_cell_angle_beta 90.00
_cell_angle_gamma 90.00
loop_
_atom_site_label
_atom_site_type_symbol
_atom_site_fract_x
_atom_site_fract_y
_atom_site_fract_z
Na1 Na 0.135 0.365 0.000
Zn1 Zn 0.000 0.000 0.000
Au1 Au 0.163 0.663 0.500
# Energy of formation (eV per formula unit): -0.30
# ΔE to the lowest computed polymorph (meV per atom): 259.4

(3)
# Hf2Sc2Al | Alexandria | GGA-PBE | optimized geometry
data_Hf2Sc2Al
_symmetry_space_group_name_H-M 'P 4/m b m'
_symmetry_Int_Tables_number 127
_symmetry_space_group_name_Hall '-P 4 2ab'
_cell_length_a 7.348
_cell_length_b 7.348
_cell_length_c 4.219
_cell_angle_alpha 90.00
_cell_angle_beta 90.00
_cell_angle_gamma 90.00
loop_
_atom_site_label
_atom_site_type_symbol
_atom_site_fract_x
_atom_site_fract_y
_atom_site_fract_z
Hf1 Hf 0.142 0.358 0.000
Sc1 Sc 0.154 0.654 0.500
Al1 Al 0.000 0.000 0.000
# Energy of formation (eV per formula unit): 0.46
# ΔE to the lowest computed polymorph (meV per atom): 253.2

(4)
# NaCdHgAu | Alexandria | GGA-PBE | optimized geometry
data_NaCdHgAu
_symmetry_space_group_name_H-M 'F -4 3 m'
_symmetry_Int_Tables_number 216
_symmetry_space_group_name_Hall 'F -4 2 3'
_cell_length_a 7.052
_cell_length_b 7.052
_cell_length_c 7.052
_cell_angle_alpha 90.00
_cell_angle_beta 90.00
_cell_angle_gamma 90.00
loop_
_atom_site_label
_atom_site_type_symbol
_atom_site_fract_x
_atom_site_fract_y
_atom_site_fract_z
Na1 Na 0.000 0.000 0.000
Cd1 Cd 0.000 0.000 0.500
Hg1 Hg 0.250 0.250 0.250
Au1 Au 0.250 0.250 0.750
# Energy of formation (eV per formula unit): -0.73
# ΔE to the lowest computed polymorph (meV per atom): 0.0

(5)
# KScIn2 | Alexandria | GGA-PBE | optimized geometry
data_KScIn2
_symmetry_space_group_name_H-M 'R -3 m'
_symmetry_Int_Tables_number 166
_symmetry_space_group_name_Hall '-R 3 2"'
_cell_length_a 3.4948
_cell_length_b 3.4948
_cell_length_c 32.5464
_cell_angle_alpha 90.00
_cell_angle_beta 90.00
_cell_angle_gamma 120.00
loop_
_atom_site_label
_atom_site_type_symbol
_atom_site_fract_x
_atom_site_fract_y
_atom_site_fract_z
K1 K 0.0000 0.0000 0.0000
Sc1 Sc 0.0000 0.0000 0.5000
In1 In 0.0000 0.0000 0.2402
# Energy of formation (eV per formula unit): -0.21
# ΔE to the lowest computed polymorph (meV per atom): 145.3

(6)
# CaMg2Pt | Alexandria | GGA-PBE | optimized geometry
data_CaMg2Pt
_symmetry_space_group_name_H-M 'C 1 2/m 1'
_symmetry_Int_Tables_number 12
_symmetry_space_group_name_Hall '-C 2y'
_cell_length_a 5.895
_cell_length_b 10.647
_cell_length_c 3.133
_cell_angle_alpha 90.00
_cell_angle_beta 118.51
_cell_angle_gamma 90.00
loop_
_atom_site_label
_atom_site_type_symbol
_atom_site_fract_x
_atom_site_fract_y
_atom_site_fract_z
Ca1 Ca 0.000 0.000 0.000
Mg1 Mg 0.250 0.250 0.500
Pt1 Pt 0.000 0.500 0.000
# Energy of formation (eV per formula unit): -0.97

(7)
# Nd2PuSn3Ir4 | Alexandria | GGA-PBE | optimized geometry
data_Nd2PuSn3Ir4
_symmetry_space_group_name_H-M 'P -4 m 2'
_symmetry_Int_Tables_number 115
_symmetry_space_group_name_Hall 'P -4 -2'
_cell_length_a 4.443
_cell_length_b 4.443
_cell_length_c 11.390
_cell_angle_alpha 90.00
_cell_angle_beta 90.00
_cell_angle_gamma 90.00
loop_
_atom_site_label
_atom_site_type_symbol
_atom_site_fract_x
_atom_site_fract_y
_atom_site_fract_z
Nd1 Nd 0.000 0.500 0.231
Pu1 Pu 0.000 0.000 0.500
Sn1 Sn 0.000 0.500 0.872
Sn2 Sn 0.500 0.500 0.500
Ir1 Ir 0.000 0.000 0.000
Ir2 Ir 0.000 0.500 0.643
Ir3 Ir 0.500 0.500 0.000
# Energy of formation (eV per formula unit): -5.46

(8)
# BaHoIr4 | Alexandria | GGA-PBE | optimized geometry
data_BaHoIr4
_symmetry_space_group_name_H-M 'F -4 3 m'
_symmetry_Int_Tables_number 216
_symmetry_space_group_name_Hall 'F -4 2 3'
_cell_length_a 7.750
_cell_length_b 7.750
_cell_length_c 7.750
_cell_angle_alpha 90.00
_cell_angle_beta 90.00
_cell_angle_gamma 90.00
loop_
_atom_site_label
_atom_site_type_symbol
_atom_site_fract_x
_atom_site_fract_y
_atom_site_fract_z
Ba1 Ba 0.000 0.000 0.000
Ho1 Ho 0.250 0.250 0.750
Ir1 Ir 0.125 0.125 0.375
# Energy of formation (eV per formula unit): -1.98

(9)
# Pr9Y2Th | Alexandria | GGA-PBE | optimized geometry
data_Pr9Y2Th
_symmetry_space_group_name_H-M 'P 4/m m m'
_symmetry_Int_Tables_number 123
_symmetry_space_group_name_Hall '-P 4 2'
_cell_length_a 5.204
_cell_length_b 5.204
_cell_length_c 15.604
_cell_angle_alpha 90.00
_cell_angle_beta 90.00
_cell_angle_gamma 90.00
loop_
_atom_site_label
_atom_site_type_symbol
_atom_site_fract_x
_atom_site_fract_y
_atom_site_fract_z
Pr1 Pr 0.000 0.000 0.000
Pr2 Pr 0.000 0.000 0.335
Pr3 Pr 0.000 0.500 0.164
Pr4 Pr 0.000 0.500 0.500
Y1 Y 0.500 0.500 0.334
Th1 Th 0.500 0.500 0.000
# Energy of formation (eV per formula unit): 0.37

(10)
# Cs3U2TeSe9 | Alexandria | GGA-PBE | optimized geometry
data_Cs3U2TeSe9
_symmetry_space_group_name_H-M 'P -3 m 1'
_symmetry_Int_Tables_number 164
_symmetry_space_group_name_Hall '-P 3 2"'
_cell_length_a 7.7428
_cell_length_b 7.7428
_cell_length_c 9.5281
_cell_angle_alpha 90.00
_cell_angle_beta 90.00
_cell_angle_gamma 120.00
loop_
_atom_site_label
_atom_site_type_symbol
_atom_site_fract_x
_atom_site_fract_y
_atom_site_fract_z
Cs1 Cs 0.0000 0.0000 0.0000
Cs2 Cs 0.3333 0.6667 0.6641
U1 U 0.3333 0.6667 0.1690
Te1 Te 0.0000 0.0000 0.5000
Se1 Se 0.0000 0.5000 0.0000
Se2 Se 0.1668 0.3337 0.3249
# Total energy (eV/cell): -73.026

(11)
# AlMoAu2 | Alexandria | GGA-PBE | optimized geometry
data_AlMoAu2
_symmetry_space_group_name_H-M 'A m m 2'
_symmetry_Int_Tables_number 38
_symmetry_space_group_name_Hall 'A 2 -2'
_cell_length_a 4.180
_cell_length_b 2.856
_cell_length_c 11.168
_cell_angle_alpha 90.00
_cell_angle_beta 90.00
_cell_angle_gamma 90.00
loop_
_atom_site_label
_atom_site_type_symbol
_atom_site_fract_x
_atom_site_fract_y
_atom_site_fract_z
Al1 Al 0.000 0.000 0.000
Mo1 Mo 0.500 0.000 0.400
Au1 Au 0.000 0.000 0.765
Au2 Au 0.500 0.000 0.136
# Energy of formation (eV per formula unit): -0.04

(12)
# Nd6HIr2Cl3 | Alexandria | GGA-PBE | optimized geometry
data_Nd6HIr2Cl3
_symmetry_space_group_name_H-M 'C 1 2/m 1'
_symmetry_Int_Tables_number 12
_symmetry_space_group_name_Hall '-C 2y'
_cell_length_a 7.008
_cell_length_b 12.141
_cell_length_c 7.877
_cell_angle_alpha 90.00
_cell_angle_beta 107.31
_cell_angle_gamma 90.00
loop_
_atom_site_label
_atom_site_type_symbol
_atom_site_fract_x
_atom_site_fract_y
_atom_site_fract_z
Nd1 Nd 0.235 0.167 0.206
Nd2 Nd 0.236 0.500 0.204
H1 H 0.000 0.000 0.000
Ir1 Ir 0.000 0.333 0.000
Cl1 Cl 0.000 0.169 0.500
Cl2 Cl 0.000 0.500 0.500
# Total energy (eV/cell): -135.853

(13)
# Fe2CuHg | Alexandria | GGA-PBE | optimized geometry
data_Fe2CuHg
_symmetry_space_group_name_H-M 'C 1 2/m 1'
_symmetry_Int_Tables_number 12
_symmetry_space_group_name_Hall '-C 2y'
_cell_length_a 5.338
_cell_length_b 7.843
_cell_length_c 2.759
_cell_angle_alpha 90.00
_cell_angle_beta 90.21
_cell_angle_gamma 90.00
loop_
_atom_site_label
_atom_site_type_symbol
_atom_site_fract_x
_atom_site_fract_y
_atom_site_fract_z
Fe1 Fe 0.250 0.250 0.000
Cu1 Cu 0.000 0.000 0.500
Hg1 Hg 0.000 0.500 0.500
# Energy of formation (eV per formula unit): 1.58
# ΔE to the lowest computed polymorph (meV per atom): 134.5

(14)
# Rb2NiSnCl6 | Alexandria | GGA-PBE | optimized geometry
data_Rb2NiSnCl6
_symmetry_space_group_name_H-M 'P 4/m m m'
_symmetry_Int_Tables_number 123
_symmetry_space_group_name_Hall '-P 4 2'
_cell_length_a 5.317
_cell_length_b 5.317
_cell_length_c 10.177
_cell_angle_alpha 90.00
_cell_angle_beta 90.00
_cell_angle_gamma 90.00
loop_
_atom_site_label
_atom_site_type_symbol
_atom_site_fract_x
_atom_site_fract_y
_atom_site_fract_z
Rb1 Rb 0.000 0.000 0.214
Ni1 Ni 0.500 0.500 0.000
Sn1 Sn 0.500 0.500 0.500
Cl1 Cl 0.000 0.500 0.000
Cl2 Cl 0.000 0.500 0.500
Cl3 Cl 0.500 0.500 0.229
# Total energy (eV/cell): -34.984

(15)
# PrSm3Y6Sc2 | Alexandria | GGA-PBE | optimized geometry
data_PrSm3Y6Sc2
_symmetry_space_group_name_H-M 'C 1 2/m 1'
_symmetry_Int_Tables_number 12
_symmetry_space_group_name_Hall '-C 2y'
_cell_length_a 6.145
_cell_length_b 10.637
_cell_length_c 11.754
_cell_angle_alpha 90.00
_cell_angle_beta 99.98
_cell_angle_gamma 90.00
loop_
_atom_site_label
_atom_site_type_symbol
_atom_site_fract_x
_atom_site_fract_y
_atom_site_fract_z
Pr1 Pr 0.000 0.000 0.000
Sm1 Sm 0.000 0.167 0.500
Sm2 Sm 0.000 0.500 0.500
Y1 Y 0.246 0.500 0.245
Y2 Y 0.249 0.332 0.755
Sc1 Sc 0.000 0.333 0.000
# Energy of formation (eV per formula unit): 0.49

(16)
# LiScP2 | Alexandria | GGA-PBE | optimized geometry
data_LiScP2
_symmetry_space_group_name_H-M 'R -3 m'
_symmetry_Int_Tables_number 166
_symmetry_space_group_name_Hall '-R 3 2"'
_cell_length_a 3.3991
_cell_length_b 3.3991
_cell_length_c 21.5716
_cell_angle_alpha 90.00
_cell_angle_beta 90.00
_cell_angle_gamma 120.00
loop_
_atom_site_label
_atom_site_type_symbol
_atom_site_fract_x
_atom_site_fract_y
_atom_site_fract_z
Li1 Li 0.0000 0.0000 0.0000
Sc1 Sc 0.0000 0.0000 0.5000
P1 P 0.0000 0.0000 0.2497
# Energy of formation (eV per formula unit): -2.16
# ΔE to the lowest computed polymorph (meV per atom): 282.4

(17)
# Mg3ZnCu | Alexandria | GGA-PBE | optimized geometry
data_Mg3ZnCu
_symmetry_space_group_name_H-M 'P m -3 m'
_symmetry_Int_Tables_number 221
_symmetry_space_group_name_Hall '-P 4 2 3'
_cell_length_a 4.880
_cell_length_b 4.880
_cell_length_c 4.880
_cell_angle_alpha 90.00
_cell_angle_beta 90.00
_cell_angle_gamma 90.00
loop_
_atom_site_label
_atom_site_type_symbol
_atom_site_fract_x
_atom_site_fract_y
_atom_site_fract_z
Mg1 Mg 0.000 0.000 0.500
Zn1 Zn 0.500 0.500 0.500
Cu1 Cu 0.000 0.000 0.000
# Energy of formation (eV per formula unit): 1.10
# ΔE to the lowest computed polymorph (meV per atom): 167.7

N(E_F)? In order: 0.66, 0.28, 1.61, 0.45, 0.87, 0.49, 0.91, 1.28, 1.72, 0.63, 0.58, 0.67, 0.96, 0.18, 1.46, 0.77, 0.45 states/eV per atom.
Calculated density? In order: 8.30, 7.73, 6.91, 10.09, 4.54, 5.45, 12.24, 15.29, 6.59, 5.75, 12.88, 7.04, 10.80, 3.24, 5.33, 2.63, 2.89 g cm⁻³.